Below is a relaxed Ag3IrBr crystal, with properties calculated at the PBE level.

CIF file:
```
data_Ag3IrBr
_chemical_formula_sum 'Ag3 Ir1 Br1'
_space_group_name_H-M_alt 'P m -3 m'
_space_group_IT_number 221
_space_group_name_Hall '-P 4 2 3'
_cell_length_a 5.140
_cell_length_b 5.140
_cell_length_c 5.140
_cell_angle_alpha 90.00
_cell_angle_beta 90.00
_cell_angle_gamma 90.00
loop_
_atom_site_label
_atom_site_type_symbol
_atom_site_fract_x
_atom_site_fract_y
_atom_site_fract_z
Ag1 Ag 0.000 0.000 0.500
Ir1 Ir 0.000 0.000 0.000
Br1 Br 0.500 0.500 0.500
```

Values from the calculation:
Energy above the most stable polymorph in this dataset (eV per atom): 0.0000